[1]
! LaSn2As2Pd7, relaxed, DFT PBE; values from VASP
! **Fermi-level density of states**: 0.308 states/eV per atom
! **Theoretical density**: 9.19 Mg/m³
! **Energy**: -63.79 eV/cell
! **SG**: C2/m
&SYSTEM
  ibrav = 0, nat = 12, ntyp = 4
/
ATOMIC_SPECIES
La 138.91 La.upf
Sn 118.71 Sn.upf
As 74.92 As.upf
Pd 106.42 Pd.upf
CELL_PARAMETERS angstrom
4.273 0.020 0.227
0.025 4.273 0.227
2.790 2.786 12.878
ATOMIC_POSITIONS crystal
La 0.000 0.000 0.000
Sn 0.718 0.718 0.337
Sn 0.282 0.282 0.663
As 0.734 0.734 0.715
As 0.266 0.266 0.285
Pd 0.500 0.500 0.000
Pd 0.248 0.248 0.473
Pd 0.752 0.752 0.527
Pd 0.857 0.362 0.171
Pd 0.362 0.857 0.171
Pd 0.638 0.143 0.829
Pd 0.143 0.638 0.829



[2]
! SnW2Se2, relaxed, DFT PBE; values from VASP
! **Fermi-level density of states**: 0.572 states/eV per atom
! **Formation energy (no corrections)**: 3.49 eV per formula unit
! **Theoretical density**: 11.15 Mg/m³
! **SG**: P4/mbm
&SYSTEM
  ibrav = 0, nat = 10, ntyp = 3
/
ATOMIC_SPECIES
Se 78.96 Se.upf
Sn 118.71 Sn.upf
W 183.84 W.upf
CELL_PARAMETERS angstrom
7.997 0.000 0.000
0.000 7.997 0.000
0.000 0.000 3.002
ATOMIC_POSITIONS crystal
Se 0.361 0.861 0.000
Se 0.861 0.639 0.000
Se 0.639 0.139 0.000
Se 0.139 0.361 0.000
Sn 0.000 0.000 0.000
Sn 0.500 0.500 0.000
W 0.130 0.630 0.500
W 0.630 0.870 0.500
W 0.870 0.370 0.500
W 0.370 0.130 0.500



[3]
! Dy3ErTh, relaxed, DFT PBE; values from VASP
! **Fermi-level density of states**: 1.603 states/eV per atom
! **Theoretical density**: 9.23 Mg/m³
! **Energy**: -51.29 eV/cell
! **SG**: P-1
&SYSTEM
  ibrav = 0, nat = 10, ntyp = 3
/
ATOMIC_SPECIES
Dy 162.50 Dy.upf
Er 167.26 Er.upf
Th 232.04 Th.upf
CELL_PARAMETERS angstrom
5.983 -0.933 -1.475
-2.932 8.162 -3.922
-1.462 -1.337 8.222
ATOMIC_POSITIONS crystal
Dy 0.734 0.556 0.255
Dy 0.871 0.660 0.755
Dy 0.343 0.754 0.252
Dy 0.657 0.246 0.748
Dy 0.266 0.444 0.745
Dy 0.129 0.340 0.245
Er 0.536 0.154 0.253
Er 0.464 0.846 0.747
Th 0.078 0.054 0.752
Th 0.922 0.946 0.248



[4]
! CrTe3, relaxed, DFT PBE; values from VASP
! **Fermi-level density of states**: 0.632 states/eV per atom
! **Formation energy (no corrections)**: 1.64 eV per formula unit
! **Theoretical density**: 6.99 Mg/m³
! **SG**: P4/mmm
&SYSTEM
  ibrav = 0, nat = 4, ntyp = 2
/
ATOMIC_SPECIES
Cr 52.00 Cr.upf
Te 127.60 Te.upf
CELL_PARAMETERS angstrom
-4.462 1.887 -2.245
2.020 -0.986 -4.843
-1.442 -3.320 0.075
ATOMIC_POSITIONS crystal
Cr 0.000 0.000 0.000
Te 0.500 0.000 0.500
Te 0.500 0.500 0.000
Te 0.000 0.500 0.500



[5]
! TmZr12In3, relaxed, DFT PBE; values from VASP
! **Fermi-level density of states**: 1.070 states/eV per atom
! **Theoretical density**: 7.28 Mg/m³
! **Energy**: -117.71 eV/cell
! **SG**: P4/mmm
&SYSTEM
  ibrav = 0, nat = 16, ntyp = 3
/
ATOMIC_SPECIES
Tm 168.93 Tm.upf
Zr 91.22 Zr.upf
In 114.82 In.upf
CELL_PARAMETERS angstrom
-1.533 2.230 -3.609
-0.728 -3.919 -2.112
-16.700 -0.544 6.760
ATOMIC_POSITIONS crystal
Tm 0.000 0.000 0.000
Zr 0.500 0.500 0.000
Zr 0.500 0.500 0.255
Zr 0.500 0.500 0.500
Zr 0.500 0.500 0.745
Zr 0.500 0.000 0.129
Zr 0.500 0.000 0.377
Zr 0.500 0.000 0.623
Zr 0.500 0.000 0.871
Zr 0.000 0.500 0.129
Zr 0.000 0.500 0.377
Zr 0.000 0.500 0.623
Zr 0.000 0.500 0.871
In 0.000 0.000 0.253
In 0.000 0.000 0.500
In 0.000 0.000 0.747



[6]
! AlZnFe3, relaxed, DFT PBE; values from VASP
! **Fermi-level density of states**: 0.708 states/eV per atom
! **Theoretical density**: 6.31 Mg/m³
! **Energy**: -60.96 eV/cell
! **SG**: R-3m
&SYSTEM
  ibrav = 0, nat = 10, ntyp = 3
/
ATOMIC_SPECIES
Al 26.98 Al.upf
Zn 65.41 Zn.upf
Fe 55.84 Fe.upf
CELL_PARAMETERS angstrom
-4.454 -0.236 2.264
-0.680 -3.103 3.864
0.070 3.451 6.022
ATOMIC_POSITIONS crystal
Al 0.097 0.097 0.709
Al 0.903 0.903 0.291
Zn 0.333 0.333 0.000
Zn 0.667 0.667 0.000
Fe 0.113 0.614 0.658
Fe 0.614 0.113 0.658
Fe 0.386 0.386 0.342
Fe 0.386 0.887 0.342
Fe 0.887 0.386 0.342
Fe 0.614 0.614 0.658



[7]
! NdSm3Y6Th2, relaxed, DFT PBE; values from VASP
! **Fermi-level density of states**: 1.366 states/eV per atom
! **Theoretical density**: 6.73 Mg/m³
! **Energy**: -72.24 eV/cell
! **SG**: C2/m
&SYSTEM
  ibrav = 0, nat = 12, ntyp = 4
/
ATOMIC_SPECIES
Nd 144.24 Nd.upf
Sm 150.36 Sm.upf
Y 88.91 Y.upf
Th 232.04 Th.upf
CELL_PARAMETERS angstrom
-2.319 -4.915 -3.080
2.558 -0.777 5.646
-10.455 3.699 4.090
ATOMIC_POSITIONS crystal
Nd 0.000 0.000 0.000
Sm 0.166 0.834 0.500
Sm 0.834 0.166 0.500
Sm 0.500 0.500 0.500
Y 0.917 0.579 0.754
Y 0.745 0.745 0.247
Y 0.083 0.421 0.246
Y 0.579 0.917 0.754
Y 0.255 0.255 0.753
Y 0.421 0.083 0.246
Th 0.333 0.667 0.000
Th 0.667 0.333 0.000



[8]
! Ti6Tl2V, relaxed, DFT PBE; values from VASP
! **Fermi-level density of states**: 1.746 states/eV per atom
! **Theoretical density**: 7.38 Mg/m³
! **Energy**: -60.58 eV/cell
! **SG**: P-62m
&SYSTEM
  ibrav = 0, nat = 9, ntyp = 3
/
ATOMIC_SPECIES
Ti 47.87 Ti.upf
Tl 204.38 Tl.upf
V 50.94 V.upf
CELL_PARAMETERS angstrom
-2.588 -1.075 1.635
-3.642 -1.386 -6.676
4.343 -5.510 3.250
ATOMIC_POSITIONS crystal
Ti 0.500 0.647 0.000
Ti 0.500 0.353 0.353
Ti 0.500 0.000 0.647
Ti 0.000 0.250 0.000
Ti 0.000 0.750 0.750
Ti 0.000 0.000 0.250
Tl 0.000 0.333 0.667
Tl 0.000 0.667 0.333
V 0.500 0.000 0.000



[9]
! Tb2Y4Ge3O2, relaxed, DFT PBE; values from VASP
! **Fermi-level density of states**: 0.678 states/eV per atom
! **Formation energy (no corrections)**: -17.26 eV per formula unit
! **Theoretical density**: 6.22 Mg/m³
! **SG**: I4/mmm
&SYSTEM
  ibrav = 0, nat = 11, ntyp = 4
/
ATOMIC_SPECIES
Tb 158.93 Tb.upf
Y 88.91 Y.upf
Ge 72.64 Ge.upf
O 16.00 O.upf
CELL_PARAMETERS angstrom
-3.754 -1.713 1.938
-0.332 -3.068 -3.356
8.713 -5.162 6.952
ATOMIC_POSITIONS crystal
Tb 0.302 0.302 0.604
Tb 0.698 0.698 0.396
Y 0.419 0.919 0.838
Y 0.919 0.419 0.838
Y 0.081 0.581 0.162
Y 0.581 0.081 0.162
Ge 0.000 0.000 0.000
Ge 0.176 0.176 0.352
Ge 0.824 0.824 0.648
O 0.402 0.402 0.804
O 0.598 0.598 0.196



[10]
! Ca3GeBi, relaxed, DFT PBE; values from VASP
! **Fermi-level density of states**: 0.327 states/eV per atom
! **Theoretical density**: 4.27 Mg/m³
! **Energy**: -35.29 eV/cell
! **SG**: C2/m
&SYSTEM
  ibrav = 0, nat = 10, ntyp = 3
/
ATOMIC_SPECIES
Ca 40.08 Ca.upf
Ge 72.64 Ge.upf
Bi 208.98 Bi.upf
CELL_PARAMETERS angstrom
4.091 0.000 0.000
-2.046 8.623 -0.278
-0.001 -0.618 8.888
ATOMIC_POSITIONS crystal
Ca 0.071 0.175 0.406
Ca 0.417 0.867 0.643
Ca 0.627 0.287 0.779
Ca 0.973 0.979 0.015
Ca 0.270 0.572 0.012
Ca 0.775 0.582 0.410
Ge 0.228 0.489 0.651
Ge 0.816 0.665 0.771
Bi 0.412 0.857 0.284
Bi 0.632 0.297 0.138



[11]
! SmY7Ho2, relaxed, DFT PBE; values from VASP
! **Fermi-level density of states**: 1.985 states/eV per atom
! **Theoretical density**: 5.57 Mg/m³
! **Energy**: -56.95 eV/cell
! **SG**: Cmmm
&SYSTEM
  ibrav = 0, nat = 10, ntyp = 3
/
ATOMIC_SPECIES
Sm 150.36 Sm.upf
Y 88.91 Y.upf
Ho 164.93 Ho.upf
CELL_PARAMETERS angstrom
3.455 0.000 0.000
0.000 10.449 -10.875
0.000 -4.939 14.250
ATOMIC_POSITIONS crystal
Sm 0.000 0.000 0.000
Y 0.000 0.690 0.310
Y 0.000 0.310 0.690
Y 0.500 0.144 0.345
Y 0.500 0.856 0.655
Y 0.500 0.345 0.144
Y 0.500 0.655 0.856
Y 0.500 0.500 0.500
Ho 0.500 0.793 0.207
Ho 0.500 0.207 0.793



[12]
! Rb2ScP2, relaxed, DFT PBE; values from VASP
! **Fermi-level density of states**: 0.131 states/eV per atom
! **Theoretical density**: 3.31 Mg/m³
! **Energy**: -41.52 eV/cell
! **SG**: P4/mbm
&SYSTEM
  ibrav = 0, nat = 10, ntyp = 3
/
ATOMIC_SPECIES
Sc 44.96 Sc.upf
P 30.97 P.upf
Rb 85.47 Rb.upf
CELL_PARAMETERS angstrom
6.913 0.000 0.000
0.000 6.913 0.000
0.000 0.000 5.834
ATOMIC_POSITIONS crystal
Sc 0.000 0.000 0.000
Sc 0.500 0.500 0.000
P 0.383 0.883 0.000
P 0.883 0.617 0.000
P 0.617 0.117 0.000
P 0.117 0.383 0.000
Rb 0.173 0.673 0.500
Rb 0.673 0.827 0.500
Rb 0.827 0.327 0.500
Rb 0.327 0.173 0.500



[13]
! Tb2Er2Tm15, relaxed, DFT PBE; values from VASP
! **Fermi-level density of states**: 1.800 states/eV per atom
! **Theoretical density**: 8.69 Mg/m³
! **Energy**: -79.95 eV/cell
! **SG**: R-3m
&SYSTEM
  ibrav = 0, nat = 19, ntyp = 3
/
ATOMIC_SPECIES
Tb 158.93 Tb.upf
Er 167.26 Er.upf
Tm 168.93 Tm.upf
CELL_PARAMETERS angstrom
6.574 -5.512 -0.575
6.574 5.512 -0.575
2.716 0.000 8.158
ATOMIC_POSITIONS crystal
Tb 0.324 0.324 0.324
Tb 0.676 0.676 0.676
Er 0.100 0.100 0.100
Er 0.900 0.900 0.900
Tm 0.000 0.000 0.500
Tm 0.500 0.000 0.000
Tm 0.000 0.500 0.000
Tm 0.300 0.700 0.000
Tm 0.000 0.300 0.700
Tm 0.700 0.000 0.300
Tm 0.000 0.700 0.300
Tm 0.300 0.000 0.700
Tm 0.700 0.300 0.000
Tm 0.633 0.633 0.147
Tm 0.147 0.633 0.633
Tm 0.633 0.147 0.633
Tm 0.367 0.367 0.853
Tm 0.853 0.367 0.367
Tm 0.367 0.853 0.367



[14]
! RbCl3F6, relaxed, DFT PBE; values from VASP
! **Fermi-level density of states**: 1.259 states/eV per atom
! **Formation energy (no corrections)**: -9.36 eV per formula unit
! **Theoretical density**: 2.32 Mg/m³
! **SG**: R3m
&SYSTEM
  ibrav = 0, nat = 10, ntyp = 3
/
ATOMIC_SPECIES
Rb 85.47 Rb.upf
Cl 35.45 Cl.upf
F 19.00 F.upf
CELL_PARAMETERS angstrom
-1.067 3.388 -1.179
-7.177 -4.034 -1.137
2.129 2.000 7.780
ATOMIC_POSITIONS crystal
Rb 0.043 0.000 0.000
Cl 0.993 0.434 0.000
Cl 0.993 0.000 0.434
Cl 0.559 0.566 0.566
F 0.363 0.000 0.590
F 0.363 0.590 0.000
F 0.613 0.000 0.264
F 0.613 0.264 0.000
F 0.349 0.736 0.736
F 0.773 0.410 0.410